A relaxed structure of Zr2MnVH, computed with GGA-PBE.

## Properties
The value obtained for the total energy is -7.749 eV per atom. As for the space group: P4/mmm, No. 123. The density of states at the Fermi level comes out at 6.54 states/eV/cell. The relative energy among the computed polymorphs comes out at 3.7 kJ per mole of atoms.

a b c (Å): 4.592 4.592 3.487
angles (deg): 90.00 90.00 90.00
Last column: magnetic moment on the atom in μB.
Fractional coordinates of all 5 atoms:
H (0.000, 0.000, 0.000)  0.00
Mn (0.500, 0.500, 0.500)  2.28
Zr (0.000, 0.500, 0.000)  -0.21
Zr (0.500, 0.000, 0.000)  -0.21
V (0.000, 0.000, 0.500)  0.86



A relaxed structure of NdAlPt, computed with GGA-PBE.

## Properties
The value obtained for the total energy is -5.915 eV per atom. As for the space group: Pnma, No. 62. The density of states at the Fermi level comes out at 6.16 states/eV/cell. The value obtained for the energy of formation is -1.06 eV per atom.

a b c (Å): 4.505 7.169 7.857
angles (deg): 90.00 90.00 90.00
Fractional coordinates of all 12 atoms:
Nd (0.750, 0.470, 0.182)
Nd (0.250, 0.030, 0.682)
Nd (0.750, 0.970, 0.318)
Nd (0.250, 0.530, 0.818)
Al (0.750, 0.854, 0.933)
Al (0.250, 0.646, 0.433)
Al (0.750, 0.354, 0.567)
Al (0.250, 0.146, 0.067)
Pt (0.750, 0.717, 0.612)
Pt (0.750, 0.217, 0.888)
Pt (0.250, 0.283, 0.388)
Pt (0.250, 0.783, 0.112)



A relaxed structure of ScSI2N, computed with GGA-PBE.

## Properties
The value obtained for the total energy is -4.015 eV per atom. As for the space group: P4/mmm, No. 123. The density of states at the Fermi level comes out at 6.71 states/eV/cell. The calculation puts the uncorrected formation energy at 0.362 eV/atom. The relative energy among the computed polymorphs comes out at 0.0 kJ per mole of atoms.

a b c (Å): 5.932 5.932 3.981
angles (deg): 90.00 90.00 90.00
Last column: magnetic moment on the atom in μB.
Fractional coordinates of all 5 atoms:
I (0.000, 0.500, 0.000)  0.20
I (0.500, 0.000, 0.000)  0.20
Sc (0.000, 0.000, 0.000)  0.00
S (0.500, 0.500, 0.500)  1.09
N (0.000, 0.000, 0.500)  -0.04



A relaxed structure of LiNpTcSn, computed with GGA-PBE.

## Properties
The value obtained for the total energy is -7.202 eV per atom. As for the space group: F-43m, No. 216. The density of states at the Fermi level comes out at 9.40 states/eV/cell. The value obtained for the energy of formation is 0.10 eV per atom.

a b c (Å): 4.732 4.732 4.732
angles (deg): 60.00 60.00 60.00
Last column: magnetic moment on the atom in μB.
Fractional coordinates of all 4 atoms:
Np (0.750, 0.750, 0.750)  3.62
Li (0.000, 0.000, 0.000)  0.04
Sn (0.250, 0.250, 0.250)  -0.01
Tc (0.500, 0.500, 0.500)  -0.29



A relaxed structure of HfBeSb2Te, computed with GGA-PBE.

## Properties
The value obtained for the total energy is -4.295 eV per atom. As for the space group: P4/mmm, No. 123. The density of states at the Fermi level comes out at 5.19 states/eV/cell. The calculation puts the uncorrected formation energy at 0.718 eV/atom. The relative energy among the computed polymorphs comes out at 18.2 kJ per mole of atoms.

a b c (Å): 5.534 5.534 5.481
angles (deg): 90.00 90.00 90.00
Fractional coordinates of all 5 atoms:
Sb (0.000, 0.500, 0.000)
Sb (0.500, 0.000, 0.000)
Te (0.000, 0.000, 0.500)
Hf (0.000, 0.000, 0.000)
Be (0.500, 0.500, 0.500)



A relaxed structure of SrPuBi2O8, computed with GGA-PBE.

## Properties
The value obtained for the total energy is -7.157 eV per atom. As for the space group: Cmmm, No. 65. The density of states at the Fermi level comes out at 3.33 states/eV/cell. The calculation puts the uncorrected formation energy at -1.871 eV/atom.

a b c (Å): 5.250 5.248 7.166
angles (deg): 90.00 90.00 88.64
Last column: magnetic moment on the atom in μB.
Fractional coordinates of all 12 atoms:
Sr (0.000, 0.000, 0.500)  0.00
Pu (0.000, 0.000, 0.000)  1.55
Bi (0.500, 0.500, 0.745)  0.00
Bi (0.500, 0.500, 0.255)  0.00
O (0.187, 0.813, 0.206)  -0.06
O (0.726, 0.726, 0.000)  -0.06
O (0.813, 0.187, 0.206)  -0.06
O (0.813, 0.187, 0.794)  -0.06
O (0.274, 0.274, 0.000)  -0.06
O (0.187, 0.813, 0.794)  -0.06
O (0.677, 0.677, 0.500)  0.00
O (0.323, 0.323, 0.500)  0.00